Below is a relaxed structure of Zn3SbAu, with properties calculated at the PBE level.

Structure (POSCAR):
```
Zn3SbAu
1.0
4.904 0.000 0.000
0.000 4.904 0.000
0.000 0.000 4.904
Zn Sb Au
3 1 1
direct
0.000 0.000 0.500
0.000 0.500 0.000
0.500 0.000 0.000
0.500 0.500 0.500
0.000 0.000 0.000
```

space group = No. 221
Fermi-level density of states = 2.7 states/eV/cell
relative energy among the computed polymorphs = 0 meV per atom



Below is a relaxed structure of ZnSbAu6, with properties calculated at the PBE level.

Structure (POSCAR):
```
ZnSbAu6
1.0
4.195 0.000 0.000
0.000 4.195 0.000
0.000 0.000 8.469
Zn Sb Au
1 1 6
direct
0.000 0.000 0.000
0.000 0.000 0.500
0.000 0.500 0.234
0.000 0.500 0.766
0.500 0.000 0.234
0.500 0.000 0.766
0.500 0.500 0.000
0.500 0.500 0.500
```

space group = No. 123
Fermi-level density of states = 2.2 states/eV/cell
relative energy among the computed polymorphs = 8 meV per atom